Record 1
Computed, not measured: an optimized crystal structure of PaTc2P at the PBE level of DFT.

Cell lengths 4.3031, 4.3031, 4.8860 Å; angles 63.87, 63.87, 60.00 degrees
Closest atoms and distances in Å follow each position.
Sites, in units of the cell vectors:
P1 0.5000 0.5000 0.5000  6 Tc 2.63
Pa1 0.0000 0.0000 0.0000  8 Tc 2.78-2.95
Tc1 0.7660 0.7660 0.7021  3 P 2.63, 3 Pa 2.78
Tc2 0.2340 0.2340 0.2979  3 P 2.63, 3 Pa 2.78

The magnetic moment comes out at 0.00 μB/atom. As for the formation energy: -0.186 eV/atom. Its polymorph energy (0 for the lowest one) is 380.6 meV/atom. Its symmetry is R-3m, No. 166. For the density of states at the Fermi level, the calculation gives 2.31 states/eV per cell. For the electronic total energy, the calculation gives -36.4 eV for the cell shown.

Record 2
Computed, not measured: an optimized crystal structure of PaTc12P6 at the PBE level of DFT.

Cell lengths 6.8587, 6.8587, 6.8587 Å; angles 103.98, 103.98, 103.98 degrees
Closest atoms and distances in Å follow each position.
Sites, in units of the cell vectors:
Pa1 0.0000 0.0000 0.0000  6 P 3.47, 18 Tc 3.49-3.72
Tc1 0.8658 0.1342 0.5000  4 P 2.30-2.38
Tc2 0.8184 0.5517 0.5517  3 P 2.44-2.46
Tc3 0.5517 0.5517 0.8184  3 P 2.44-2.46
Tc4 0.4483 0.1816 0.4483  3 P 2.44-2.46
Tc5 0.4483 0.4483 0.1816  3 P 2.44-2.46
Tc6 0.1816 0.4483 0.4483  3 P 2.44-2.46
Tc7 0.1342 0.5000 0.8658  4 P 2.30-2.38
Tc8 0.5000 0.8658 0.1342  4 P 2.30-2.38
Tc9 0.1342 0.8658 0.5000  4 P 2.30-2.38
Tc10 0.8658 0.5000 0.1342  4 P 2.30-2.38
Tc11 0.5000 0.1342 0.8658  4 P 2.30-2.38
Tc12 0.5517 0.8184 0.5517  3 P 2.44-2.46
P1 0.6827 0.2348 0.2348  7 Tc 2.30-2.46
P2 0.2348 0.2348 0.6827  7 Tc 2.30-2.46
P3 0.2348 0.6827 0.2348  7 Tc 2.30-2.46
P4 0.7652 0.7652 0.3173  7 Tc 2.30-2.46
P5 0.3173 0.7652 0.7652  7 Tc 2.30-2.46
P6 0.7652 0.3173 0.7652  7 Tc 2.30-2.46

The magnetic moment comes out at 0.00 μB/atom. As for the formation energy: -0.398 eV/atom. Its symmetry is R-3m, No. 166. For the density of states at the Fermi level, the calculation gives 19.36 states/eV per cell. For the electronic total energy, the calculation gives -173.9 eV for the cell shown.

Record 3
Computed, not measured: an optimized crystal structure of PaTc5P3 at the PBE level of DFT.

Cell lengths 4.1631, 6.5110, 11.1604 Å; angles 90.00, 90.00, 108.64 degrees
Closest atoms and distances in Å follow each position.
Sites, in units of the cell vectors:
Pa1 0.8549 0.7097 0.7500  6 P 2.89-3.23
Pa2 0.1451 0.2903 0.2500  6 P 2.89-3.23
Tc1 0.7630 0.5260 0.4369  2 P 2.32-2.33, 2 Tc 2.53
Tc2 0.2370 0.4740 0.9369  2 P 2.32-2.33, 2 Tc 2.53
Tc3 0.0000 0.0000 0.5000  4 P 2.48
Tc4 0.0000 0.0000 0.0000  4 P 2.48
Tc5 0.3862 0.7725 0.1318  4 P 2.39-2.51, 1 Tc 2.64
Tc6 0.6138 0.2275 0.8682  4 P 2.39-2.51, 1 Tc 2.64
Tc7 0.6138 0.2275 0.6318  4 P 2.39-2.51, 1 Tc 2.64
Tc8 0.7630 0.5260 0.0631  2 P 2.32-2.33, 2 Tc 2.53
Tc9 0.2370 0.4740 0.5631  2 P 2.32-2.33, 2 Tc 2.53
Tc10 0.3862 0.7725 0.3682  4 P 2.39-2.51, 1 Tc 2.64
P1 0.4242 0.8484 0.9128  5 Tc 2.33-2.49
P2 0.8456 0.6912 0.2500  6 Tc 2.32-2.51
P3 0.4242 0.8484 0.5872  5 Tc 2.33-2.49
P4 0.5758 0.1516 0.4128  5 Tc 2.33-2.49
P5 0.1544 0.3088 0.7500  6 Tc 2.32-2.51
P6 0.5758 0.1516 0.0872  5 Tc 2.33-2.49

The magnetic moment comes out at 0.00 μB/atom. As for the formation energy: -0.408 eV/atom. Its symmetry is Cmcm, No. 63. For the density of states at the Fermi level, the calculation gives 17.00 states/eV per cell. For the electronic total energy, the calculation gives -162.5 eV for the cell shown.

Record 4
Computed, not measured: an optimized crystal structure of Pa3TcP at the PBE level of DFT.

Cell lengths 3.6722, 7.7542, 8.2152 Å; angles 103.09, 90.00, 90.00 degrees
Closest atoms and distances in Å follow each position.
Sites, in units of the cell vectors:
Pa1 0.7500 0.5747 0.3715  2 P 2.77, 2 Tc 2.98
Pa2 0.2500 0.4253 0.6285  2 P 2.77, 2 Tc 2.98
Pa3 0.7500 0.3229 0.9478  1 P 2.72, 2 Tc 2.78
Pa4 0.2500 0.9376 0.7250  2 Tc 2.74, 3 P 2.75-2.77
Pa5 0.2500 0.6771 0.0522  1 P 2.72, 2 Tc 2.78
Pa6 0.7500 0.0624 0.2750  2 Tc 2.74, 3 P 2.75-2.77
Tc1 0.2500 0.2920 0.1943  6 Pa 2.74-2.98
Tc2 0.7500 0.7080 0.8057  6 Pa 2.74-2.98
P1 0.2500 0.8438 0.3819  6 Pa 2.72-2.77
P2 0.7500 0.1562 0.6181  6 Pa 2.72-2.77

The magnetic moment comes out at 0.00 μB/atom. As for the formation energy: -0.388 eV/atom. Its symmetry is P2_1/m, No. 11. For the density of states at the Fermi level, the calculation gives 14.72 states/eV per cell. For the electronic total energy, the calculation gives -92.4 eV for the cell shown.

Record 5
Computed, not measured: an optimized crystal structure of PaTc4P2 at the PBE level of DFT.

Cell lengths 4.0283, 4.0660, 6.9856 Å; angles 106.92, 90.00, 90.00 degrees
Closest atoms and distances in Å follow each position.
Sites, in units of the cell vectors:
Pa1 0.0000 0.0000 0.0000  8 P 3.08, 8 Tc 3.15-3.24
Tc1 0.5000 0.8184 0.6367  2 P 2.41, 2 Tc 2.66
Tc2 0.0000 0.6887 0.3774  2 P 2.44, 4 Tc 2.61-2.66
Tc3 0.5000 0.1816 0.3633  2 P 2.41, 2 Tc 2.66
Tc4 0.0000 0.3113 0.6226  2 P 2.44, 4 Tc 2.61-2.66
P1 0.5000 0.5850 0.1701  1 P 2.27, 4 Tc 2.41-2.44
P2 0.5000 0.4150 0.8299  1 P 2.27, 4 Tc 2.41-2.44

The magnetic moment comes out at 0.00 μB/atom. As for the formation energy: -0.661 eV/atom. Its symmetry is Cmmm, No. 65. For the density of states at the Fermi level, the calculation gives 4.98 states/eV per cell. For the electronic total energy, the calculation gives -66.4 eV for the cell shown.

Record 6
Computed, not measured: an optimized crystal structure of PaTc3P2 at the PBE level of DFT.

Cell lengths 4.0249, 7.1380, 7.8381 Å; angles 116.40, 104.88, 90.00 degrees
Closest atoms and distances in Å follow each position.
Sites, in units of the cell vectors:
Pa1 0.1484 0.2337 0.2968  7 P 2.91-3.16, 6 Tc 3.08-3.19
Pa2 0.8516 0.7663 0.7032  7 P 2.91-3.16, 6 Tc 3.08-3.19
Tc1 0.6930 0.9423 0.3859  2 P 2.38-2.46, 2 Tc 2.53
Tc2 0.0413 0.7093 0.0825  3 P 2.38-2.43, 1 Tc 2.66
Tc3 0.4059 0.4880 0.8118  3 P 2.44-2.47, 1 Tc 2.73
Tc4 0.5941 0.5120 0.1882  3 P 2.44-2.47, 1 Tc 2.73
Tc5 0.9587 0.2907 0.9175  3 P 2.38-2.43, 1 Tc 2.66
Tc6 0.3070 0.0577 0.6141  2 P 2.38-2.46, 2 Tc 2.53
P1 0.5221 0.8645 0.0443  1 P 2.32, 4 Tc 2.38-2.44
P2 0.4779 0.1355 0.9557  1 P 2.32, 4 Tc 2.38-2.44
P3 0.1939 0.6766 0.3878  4 Tc 2.43-2.47
P4 0.8061 0.3234 0.6122  4 Tc 2.43-2.47

The magnetic moment comes out at 0.00 μB/atom. As for the formation energy: -0.670 eV/atom. Its symmetry is C2/m, No. 12. For the density of states at the Fermi level, the calculation gives 9.05 states/eV per cell. For the electronic total energy, the calculation gives -110.9 eV for the cell shown.

Record 7
Computed, not measured: an optimized crystal structure of Pa2Tc3P4 at the PBE level of DFT.

Cell lengths 8.2383, 5.7952, 6.7366 Å; angles 90.00, 90.00, 111.83 degrees
Closest atoms and distances in Å follow each position.
Sites, in units of the cell vectors:
Pa1 0.5475 0.1504 0.2727  6 P 2.78-3.07, 2 Tc 2.87-3.08
Pa2 0.9525 0.8496 0.7727  6 P 2.78-3.07, 2 Tc 2.87-3.08
Pa3 0.4525 0.8496 0.7273  6 P 2.78-3.07, 2 Tc 2.87-3.08
Pa4 0.0475 0.1504 0.2273  6 P 2.78-3.07, 2 Tc 2.87-3.08
Tc1 0.0000 0.5000 0.5000  4 P 2.40-2.52
Tc2 0.5000 0.5000 0.0000  4 P 2.40-2.52
Tc3 0.7895 0.2928 0.8746  5 P 2.38-2.49
Tc4 0.7105 0.7072 0.3746  5 P 2.38-2.49
Tc5 0.2105 0.7072 0.1254  5 P 2.38-2.49
Tc6 0.2895 0.2928 0.6254  5 P 2.38-2.49
P1 0.7821 0.0922 0.5459  3 Tc 2.38-2.49
P2 0.7179 0.9078 0.0459  3 Tc 2.38-2.49
P3 0.2179 0.9078 0.4541  3 Tc 2.38-2.49
P4 0.2821 0.0922 0.9541  3 Tc 2.38-2.49
P5 0.8938 0.5679 0.1628  4 Tc 2.42-2.52
P6 0.6062 0.4321 0.6628  4 Tc 2.42-2.52
P7 0.1062 0.4321 0.8372  4 Tc 2.42-2.52
P8 0.3938 0.5679 0.3372  4 Tc 2.42-2.52

The magnetic moment comes out at 0.00 μB/atom. As for the formation energy: -0.882 eV/atom. Its symmetry is P2_1/c, No. 14. For the density of states at the Fermi level, the calculation gives 11.02 states/eV per cell. For the electronic total energy, the calculation gives -159.3 eV for the cell shown.

Record 8
Computed, not measured: an optimized crystal structure of PaTc4P4 at the PBE level of DFT.

Cell lengths 5.9745, 5.9745, 7.8008 Å; angles 90.00, 90.00, 90.00 degrees
Closest atoms and distances in Å follow each position.
Sites, in units of the cell vectors:
Pa1 0.0000 0.0000 0.0000  4 P 3.06, 4 Tc 3.34
Pa2 0.5000 0.5000 0.5000  4 P 3.06, 4 Tc 3.34
Tc1 0.2338 0.5000 0.8772  5 P 2.36-2.42
Tc2 0.7662 0.5000 0.8772  5 P 2.36-2.42
Tc3 0.5000 0.7662 0.1228  5 P 2.36-2.42
Tc4 0.5000 0.2338 0.1228  5 P 2.36-2.42
Tc5 0.0000 0.7338 0.3772  5 P 2.36-2.42
Tc6 0.0000 0.2662 0.3772  5 P 2.36-2.42
Tc7 0.2662 0.0000 0.6228  5 P 2.36-2.42
Tc8 0.7338 0.0000 0.6228  5 P 2.36-2.42
P1 0.5000 0.7936 0.8214  5 Tc 2.36-2.42, 1 P 2.47
P2 0.5000 0.2064 0.8214  5 Tc 2.36-2.42, 1 P 2.47
P3 0.7936 0.5000 0.1786  5 Tc 2.36-2.42, 1 P 2.47
P4 0.2064 0.5000 0.1786  5 Tc 2.36-2.42, 1 P 2.47
P5 0.2936 0.0000 0.3214  5 Tc 2.36-2.42, 1 P 2.47
P6 0.7064 0.0000 0.3214  5 Tc 2.36-2.42, 1 P 2.47
P7 0.0000 0.2936 0.6786  5 Tc 2.36-2.42, 1 P 2.47
P8 0.0000 0.7064 0.6786  5 Tc 2.36-2.42, 1 P 2.47

The magnetic moment comes out at 0.00 μB/atom. As for the formation energy: -0.499 eV/atom. Its symmetry is P4_2/nmc, No. 137. For the density of states at the Fermi level, the calculation gives 15.90 states/eV per cell. For the electronic total energy, the calculation gives -154.2 eV for the cell shown.

Record 9
Computed, not measured: an optimized crystal structure of Pa3Tc2P4 at the PBE level of DFT.

Cell lengths 4.0773, 6.0968, 8.2959 Å; angles 117.83, 90.00, 109.53 degrees
Closest atoms and distances in Å follow each position.
Sites, in units of the cell vectors:
Pa1 0.6283 0.2565 0.7275  5 P 2.78-2.95
Pa2 0.0000 0.0000 0.0000  6 P 2.78-2.91
Pa3 0.3717 0.7435 0.2725  5 P 2.78-2.95
Tc1 0.6763 0.3525 0.3674  4 P 2.32-2.46
Tc2 0.3237 0.6474 0.6326  4 P 2.32-2.46
P1 0.6872 0.3743 0.0955  1 Tc 2.32
P2 0.3128 0.6257 0.9045  1 Tc 2.32
P3 0.9153 0.8305 0.6061  3 Tc 2.35-2.46
P4 0.0847 0.1695 0.3939  3 Tc 2.35-2.46

The magnetic moment comes out at 0.00 μB/atom. As for the formation energy: -0.970 eV/atom. Its symmetry is C2/m, No. 12. For the density of states at the Fermi level, the calculation gives 10.43 states/eV per cell. For the electronic total energy, the calculation gives -79.6 eV for the cell shown.

Record 10
Computed, not measured: an optimized crystal structure of PaTc2P at the PBE level of DFT.

Cell lengths 3.8704, 3.9453, 9.4548 Å; angles 90.00, 101.81, 90.00 degrees
Closest atoms and distances in Å follow each position.
Sites, in units of the cell vectors:
Pa1 0.4018 0.2500 0.8037  4 Tc 2.92, 4 P 3.12
Pa2 0.5982 0.7500 0.1963  4 Tc 2.92, 4 P 3.12
Tc1 0.7508 0.2500 0.5016  4 P 2.38-2.39
Tc2 0.2492 0.7500 0.4984  4 P 2.38-2.39
Tc3 0.0470 0.2500 0.0940  1 P 2.39, 2 Tc 2.63
Tc4 0.9530 0.7500 0.9060  1 P 2.39, 2 Tc 2.63
P1 0.1761 0.2500 0.3522  5 Tc 2.38-2.39
P2 0.8239 0.7500 0.6478  5 Tc 2.38-2.39

The magnetic moment comes out at 0.00 μB/atom. As for the formation energy: -0.567 eV/atom. Its polymorph energy (0 for the lowest one) is 0.0 meV/atom. Its symmetry is Cmcm, No. 63. For the density of states at the Fermi level, the calculation gives 7.76 states/eV per cell. For the electronic total energy, the calculation gives -75.8 eV for the cell shown.

> What is the formation energy in the tenth record?

-0.567 eV/atom